Material: Re2PtRh
Method: DFT, PBE
State: relaxed

Space group: P4mm, No. 99
Energy above the lowest structure with this stoichiometry (eV per atom): 0.0245
Electronic total energy (eV per cell): -38.68
ΔH_f (0 K) (meV/atom): -98

The structure in POSCAR format:
```
Re2PtRh
1.0
2.7583 0.0000 0.0000
0.0000 2.7583 0.0000
0.0000 0.0000 7.8349
Re Pt Rh
2 1 1
direct
0.0000 0.0000 0.0057
0.5000 0.5000 0.2505
0.5000 0.5000 0.7548
0.0000 0.0000 0.4889
```


Material: YPuSn
Method: DFT, PBE
State: relaxed

Space group: P3m1, No. 156
Energy above the lowest structure with this stoichiometry (eV per atom): 0.2587
Electronic total energy (eV per cell): -25.49
ΔH_f (0 K) (meV/atom): -231

The structure in POSCAR format:
```
YPuSn
1.0
-1.1882 2.9401 -1.4836
-4.9355 -1.6841 0.6154
2.2973 2.8342 3.7767
Pu Sn Y
1 1 1
direct
0.3037 0.6667 0.3333
0.9754 0.0000 0.0000
0.7208 0.3333 0.6667
```


Material: BeGeOsO6
Method: DFT, PBE
State: relaxed

Space group: P-31c, No. 163
Formation energy (no corrections) (meV per atom): -1314
Electronic total energy (eV per cell): -122.29

The structure in POSCAR format:
```
BeGeOsO6
1.0
4.7750 0.0000 0.0000
-2.3875 4.1353 0.0000
0.0000 0.0000 8.4950
O Be Ge Os
12 2 2 2
direct
0.0134 0.6675 0.8717
0.6541 0.6675 0.6283
0.9866 0.3325 0.1283
0.3325 0.3459 0.8717
0.0134 0.3459 0.6283
0.9866 0.6541 0.3717
0.6541 0.9866 0.8717
0.3459 0.0134 0.1283
0.6675 0.6541 0.1283
0.3325 0.9866 0.6283
0.3459 0.3325 0.3717
0.6675 0.0134 0.3717
0.6667 0.3333 0.2500
0.3333 0.6667 0.7500
0.0000 0.0000 0.0000
0.0000 0.0000 0.5000
0.3333 0.6667 0.2500
0.6667 0.3333 0.7500
```


Material: Na2In7Pb2
Method: DFT, PBE
State: relaxed

Space group: C2/m, No. 12
Electronic total energy (eV per cell): -29.50
ΔH_f (0 K) (meV/atom): -25

The structure in POSCAR format:
```
Na2In7Pb2
1.0
-4.2076 3.5263 -1.1689
-2.5686 0.1409 7.1396
3.6862 6.1008 2.6046
In Na Pb
7 2 2
direct
0.0000 0.0000 0.0000
0.2340 0.5489 0.5489
0.7660 0.4511 0.4511
0.7794 0.3984 0.0596
0.7794 0.0596 0.3984
0.2206 0.6016 0.9404
0.2206 0.9404 0.6016
0.2818 0.2566 0.2566
0.7182 0.7434 0.7434
0.5000 0.2092 0.7908
0.5000 0.7908 0.2092
```